! Ti5In2Ga, relaxed, DFT GGA-PBE; values from VASP
! - Formation enthalpy at 0 K: -0.223 eV/atom
! - DOS(E_F): 9.6 states/eV per cell
! - Total magnetic moment: 0.00 Bohr magnetons per cell
! - E: -6.2200 eV/atom
&SYSTEM
  ibrav = 0, nat = 8, ntyp = 3
/
ATOMIC_SPECIES
Ti 47.87 Ti.upf
In 114.82 In.upf
Ga 69.72 Ga.upf
CELL_PARAMETERS angstrom
-2.046 2.046 8.504
2.046 -2.046 8.504
2.046 2.046 -8.504
ATOMIC_POSITIONS crystal
Ti 0.000 0.000 0.000
Ti 0.115 0.615 0.500
Ti 0.385 0.885 0.500
Ti 0.615 0.115 0.500
Ti 0.885 0.385 0.500
In 0.249 0.249 0.000
In 0.751 0.751 0.000
Ga 0.500 0.500 0.000

! Dy2Mg3Pd2, relaxed, DFT GGA-PBE; values from VASP
! - Formation enthalpy at 0 K: -0.588 eV/atom
! - DOS(E_F): 3.8 states/eV per cell
! - Total magnetic moment: 0.00 Bohr magnetons per cell
! - Distance to the lowest polymorph of the same formula: 0.000 eV per formula unit
! - E: -4.0699 eV/atom
&SYSTEM
  ibrav = 0, nat = 7, ntyp = 3
/
ATOMIC_SPECIES
Dy 162.50 Dy.upf
Mg 24.30 Mg.upf
Pd 106.42 Pd.upf
CELL_PARAMETERS angstrom
5.064 -2.172 0.000
5.064 2.172 0.000
-2.865 0.000 6.983
ATOMIC_POSITIONS crystal
Dy 0.143 0.143 0.288
Dy 0.857 0.857 0.712
Mg 0.367 0.367 0.059
Mg 0.500 0.500 0.500
Mg 0.633 0.633 0.941
Pd 0.150 0.150 0.696
Pd 0.850 0.850 0.304

! BeNbH, relaxed, DFT GGA-PBE; values from VASP
! - DOS(E_F): 1.7 states/eV per cell
! - Total magnetic moment: 0.00 Bohr magnetons per cell
! - Distance to the lowest polymorph of the same formula: 4.929 eV per formula unit
! - E: -4.4187 eV/atom
&SYSTEM
  ibrav = 0, nat = 3, ntyp = 3
/
ATOMIC_SPECIES
Be 9.01 Be.upf
Nb 92.91 Nb.upf
H 1.01 H.upf
CELL_PARAMETERS angstrom
4.046 0.000 0.000
-2.023 3.504 0.000
0.000 0.000 2.556
ATOMIC_POSITIONS crystal
Be 0.000 0.000 0.000
Nb 0.333 0.667 0.000
H 0.667 0.333 0.500

! Nb2FeTe, relaxed, DFT GGA-PBE; values from VASP
! - DOS(E_F): 16.9 states/eV per cell
! - Total magnetic moment: 0.00 Bohr magnetons per cell
! - E: -7.1506 eV/atom
&SYSTEM
  ibrav = 0, nat = 8, ntyp = 3
/
ATOMIC_SPECIES
Nb 92.91 Nb.upf
Fe 55.84 Fe.upf
Te 127.60 Te.upf
CELL_PARAMETERS angstrom
-2.868 2.868 6.022
2.868 -2.868 6.022
2.868 2.868 -6.022
ATOMIC_POSITIONS crystal
Nb 0.049 0.625 0.924
Nb 0.375 0.299 0.424
Nb 0.701 0.125 0.076
Nb 0.875 0.951 0.576
Fe 0.000 0.000 0.000
Fe 0.750 0.250 0.500
Te 0.250 0.750 0.500
Te 0.500 0.500 0.000

! DyVCo4, relaxed, DFT GGA-PBE; values from VASP
! - Formation enthalpy at 0 K: -0.027 eV/atom
! - DOS(E_F): 8.2 states/eV per cell
! - Total magnetic moment: 1.97 Bohr magnetons per cell
! - E: -7.0511 eV/atom
&SYSTEM
  ibrav = 0, nat = 6, ntyp = 3
/
ATOMIC_SPECIES
Dy 162.50 Dy.upf
V 50.94 V.upf
Co 58.93 Co.upf
CELL_PARAMETERS angstrom
0.000 3.453 3.453
3.453 0.000 3.453
3.453 3.453 0.000
ATOMIC_POSITIONS crystal
Dy 0.000 0.000 0.000
V 0.250 0.250 0.250
Co 0.126 0.625 0.625
Co 0.625 0.126 0.625
Co 0.625 0.625 0.126
Co 0.625 0.625 0.625

! Ho2ErTh2, relaxed, DFT GGA-PBE; values from VASP
! - Formation enthalpy at 0 K: 0.444 eV/atom
! - DOS(E_F): 16.5 states/eV per cell
! - Total magnetic moment: 0.00 Bohr magnetons per cell
! - Distance to the lowest polymorph of the same formula: 2.070 eV per formula unit
! - E: -5.2680 eV/atom
&SYSTEM
  ibrav = 0, nat = 10, ntyp = 3
/
ATOMIC_SPECIES
Ho 164.93 Ho.upf
Er 167.26 Er.upf
Th 232.04 Th.upf
CELL_PARAMETERS angstrom
0.000 8.346 11.529
1.736 0.000 11.529
1.736 8.346 0.000
ATOMIC_POSITIONS crystal
Ho 0.044 0.706 0.044
Ho 0.294 0.956 0.294
Ho 0.706 0.044 0.706
Ho 0.956 0.294 0.956
Er 0.375 0.375 0.375
Er 0.625 0.625 0.625
Th 0.000 0.500 0.500
Th 0.500 0.000 0.500
Th 0.500 0.500 0.000
Th 0.500 0.500 0.500

! NaLi2Mg, relaxed, DFT GGA-PBE; values from VASP
! - Formation enthalpy at 0 K: 0.060 eV/atom
! - DOS(E_F): 2.5 states/eV per cell
! - Total magnetic moment: 0.00 Bohr magnetons per cell
! - E: -1.6250 eV/atom
&SYSTEM
  ibrav = 0, nat = 4, ntyp = 3
/
ATOMIC_SPECIES
Na 22.99 Na.upf
Li 6.94 Li.upf
Mg 24.30 Mg.upf
CELL_PARAMETERS angstrom
1.614 0.932 10.982
-1.614 0.932 10.982
0.000 -1.863 10.982
ATOMIC_POSITIONS crystal
Na 0.000 0.000 0.000
Li 0.093 0.093 0.093
Li 0.907 0.907 0.907
Mg 0.500 0.500 0.500

! BaCa7, relaxed, DFT GGA-PBE; values from VASP
! - Formation enthalpy at 0 K: 0.035 eV/atom
! - DOS(E_F): 11.8 states/eV per cell
! - Total magnetic moment: 0.00 Bohr magnetons per cell
! - Distance to the lowest polymorph of the same formula: 0.054 eV per formula unit
! - E: -1.9564 eV/atom
&SYSTEM
  ibrav = 0, nat = 8, ntyp = 2
/
ATOMIC_SPECIES
Ba 137.33 Ba.upf
Ca 40.08 Ca.upf
CELL_PARAMETERS angstrom
7.680 -6.184 0.000
7.680 6.184 0.000
-0.981 0.000 3.787
ATOMIC_POSITIONS crystal
Ba 0.000 0.000 0.000
Ca 0.139 0.599 0.368
Ca 0.248 0.248 0.746
Ca 0.401 0.861 0.632
Ca 0.500 0.500 0.000
Ca 0.599 0.139 0.368
Ca 0.752 0.752 0.254
Ca 0.861 0.401 0.632

! CoHIrBr, relaxed, DFT GGA-PBE; values from VASP
! - DOS(E_F): 3.9 states/eV per cell
! - Total magnetic moment: 2.36 Bohr magnetons per cell
! - Distance to the lowest polymorph of the same formula: 0.002 eV per formula unit
! - E: -4.9025 eV/atom
&SYSTEM
  ibrav = 0, nat = 4, ntyp = 4
/
ATOMIC_SPECIES
Co 58.93 Co.upf
H 1.01 H.upf
Ir 192.22 Ir.upf
Br 79.90 Br.upf
CELL_PARAMETERS angstrom
-1.393 1.859 6.140
1.393 -1.859 6.140
1.393 1.859 -6.140
ATOMIC_POSITIONS crystal
Co 0.000 0.000 0.000
H 0.554 0.554 0.000
Ir 0.424 0.424 0.000
Br 0.215 0.215 0.000

The records above give, respectively, calculated volume values of 142.4, 153.6, 36.2, 198.1, 82.4, 334.0, 99.1, 359.7, 63.6 Å³/cell.